Entry from Alexandria via LeMat-Bulk: crystalline BaLaNiRuO6 at its relaxed geometry (GGA+U).

V: 129.8 Å³/cell
Energy: -6.84 eV/atom

Cell lengths 5.7029, 5.7029, 5.7029 Å; angles 120.68, 120.68, 88.83 degrees
With the nearest neighbours (Å) after each atom.
Atoms (fractional coordinates):
Ba 0.0000 0.0000 0.0000  8 O 2.71-2.82
La 0.5000 0.5000 0.0000  4 O 2.49
Ni 0.7500 0.2500 0.5000  6 O 2.08-2.09
Ru 0.2500 0.7500 0.5000  6 O 1.98-1.99
O 0.0067 0.5067 0.5000  1 Ru 1.98, 1 Ni 2.09
O 0.0718 0.4756 0.0120  1 Ru 1.99, 1 Ni 2.08
O 0.4636 0.0598 0.9880  1 Ru 1.99, 1 Ni 2.08
O 0.4933 0.9933 0.5000  1 Ru 1.98, 1 Ni 2.09
O 0.5244 0.5364 0.5961  1 Ru 1.99, 1 Ni 2.08
O 0.9402 0.9282 0.4039  1 Ru 1.99, 1 Ni 2.08